LiS | PBE-GGA | optimized geometry

```
LiS
1.0
10.120 0.000 0.000
-5.060 8.764 0.000
0.000 0.000 3.249
Li S
6 6
Cartesian
-0.755 3.852 0.812 Li
-1.347 7.493 0.812 Li
2.958 2.580 2.437 Li
2.102 6.184 0.812 Li
6.407 1.272 2.437 Li
5.816 4.913 2.437 Li
-2.616 5.463 0.812 S
1.637 3.767 0.812 S
4.081 0.466 2.437 S
0.979 8.298 0.812 S
3.423 4.997 2.437 S
7.676 3.301 2.437 S
```

Summary:
Raw formation energy = -488 meV per atom
Final energy = -3.509 eV/atom
Energy above the most stable polymorph in this dataset = 0.4108 eV per atom
Fermi-level density of states = 7.1 states/eV per cell